The following is a DFT calculation (meta-GGA SCAN) of BaCa2Mg at its PBEsol-relaxed geometry.

Unit cell a=6.025 b=6.025 c=6.025 alpha=60.00 beta=60.00 gamma=60.00
Fractional positions:
Ba 0.000 0.000 0.000
Ca 0.500 0.500 0.500
Ca 0.750 0.750 0.750
Mg 0.250 0.250 0.250

Its formation energy is 31 meV per atom. Its total magnetization is 0.000 μB/f.u. The total energy comes out at -15.932 eV/atom. The crystal system is cubic.

=====

The following is a DFT calculation (meta-GGA SCAN) of Mg2TaP at its PBEsol-relaxed geometry.

Unit cell a=3.743 b=3.743 c=4.745 alpha=90.00 beta=90.00 gamma=90.00
Fractional positions:
Mg 0.000 0.500 0.000
Mg 0.500 0.000 0.000
Ta 0.000 0.000 0.500
P 0.500 0.500 0.500

Its formation energy is 144 meV per atom. Its total magnetization is 0.000 μB/f.u. The total energy comes out at -21.588 eV/atom. The crystal system is tetragonal.

=====

The following is a DFT calculation (meta-GGA SCAN) of BeIr2Rh at its PBEsol-relaxed geometry.

Unit cell a=2.659 b=2.659 c=8.376 alpha=90.00 beta=90.00 gamma=119.31
Fractional positions:
Be 0.000 0.000 0.000
Ir 0.500 0.500 0.223
Ir 0.500 0.500 0.777
Rh 0.000 0.000 0.500

Its formation energy is -41 meV per atom. Its total magnetization is 0.000 μB/f.u. The total energy comes out at -45.122 eV/atom. The crystal system is orthorhombic.

=====

The following is a DFT calculation (meta-GGA SCAN) of Zr3CuH at its PBEsol-relaxed geometry.

Unit cell a=4.298 b=4.298 c=4.298 alpha=90.00 beta=90.00 gamma=90.00
Fractional positions:
Zr 0.000 0.000 0.500
Zr 0.000 0.500 0.000
Zr 0.500 0.000 0.000
Cu 0.500 0.500 0.500
H 0.000 0.000 0.000

Its total magnetization is 0.000 μB/f.u. The total energy comes out at -22.293 eV/atom. The crystal system is cubic.

=====

The following is a DFT calculation (meta-GGA SCAN) of OsW2 at its PBEsol-relaxed geometry.

Unit cell a=4.419 b=4.419 c=2.716 alpha=90.00 beta=90.00 gamma=120.00
Fractional positions:
Os 0.000 0.000 0.000
W 0.333 0.667 0.500
W 0.667 0.333 0.500

Its formation energy is 552 meV per atom. Its total magnetization is 0.000 μB/f.u. Its energy above the lowest structure with this stoichiometry is 566.7 meV/atom. The total energy comes out at -69.867 eV/atom. The crystal system is hexagonal.

=====

The following is a DFT calculation (meta-GGA SCAN) of TaIr2W at its PBEsol-relaxed geometry.

Unit cell a=9.368 b=9.368 c=9.368 alpha=17.06 beta=17.06 gamma=17.06
Fractional positions:
Ta 0.000 0.000 0.000
Ir 0.253 0.253 0.253
Ir 0.502 0.502 0.502
W 0.758 0.758 0.758

Its formation energy is -67 meV per atom. Its total magnetization is 0.000 μB/f.u. Its energy above the lowest structure with this stoichiometry is 492.6 meV/atom. The total energy comes out at -69.684 eV/atom. The crystal system is trigonal.

=====

The following is a DFT calculation (meta-GGA SCAN) of HfNi3Sb at its PBEsol-relaxed geometry.

Unit cell a=4.532 b=4.532 c=4.532 alpha=90.00 beta=90.00 gamma=90.00
Fractional positions:
Hf 0.000 0.000 0.000
Ni 0.000 0.000 0.500
Ni 0.000 0.500 0.000
Ni 0.500 0.000 0.000
Sb 0.500 0.500 0.500

Its total magnetization is 0.000 μB/f.u. The total energy comes out at -28.645 eV/atom. The crystal system is cubic.

=====

The following is a DFT calculation (meta-GGA SCAN) of TaIrW2 at its PBEsol-relaxed geometry.

Unit cell a=2.738 b=4.505 c=5.172 alpha=90.00 beta=100.45 gamma=90.00
Fractional positions:
Ta 0.000 0.000 0.000
Ir 0.500 0.000 0.500
W 0.238 0.500 0.752
W 0.762 0.500 0.248

Its formation energy is -83 meV per atom. Its total magnetization is 0.000 μB/f.u. Its energy above the lowest structure with this stoichiometry is 0.0 meV/atom. The total energy comes out at -69.348 eV/atom. The crystal system is monoclinic.

=====

The following is a DFT calculation (meta-GGA SCAN) of ErZnPd2 at its PBEsol-relaxed geometry.

Unit cell a=4.563 b=4.563 c=4.563 alpha=60.00 beta=60.00 gamma=60.00
Fractional positions:
Er 0.000 0.000 0.000
Zn 0.500 0.500 0.500
Pd 0.250 0.250 0.250
Pd 0.750 0.750 0.750

Its formation energy is -801 meV per atom. Its total magnetization is 0.000 μB/f.u. The total energy comes out at -33.152 eV/atom. The crystal system is cubic.

=====

The following is a DFT calculation (meta-GGA SCAN) of SrRu2Pt at its PBEsol-relaxed geometry.

Unit cell a=2.808 b=3.561 c=7.236 alpha=90.00 beta=90.00 gamma=90.00
Fractional positions:
Sr 0.000 0.000 0.000
Ru 0.000 0.000 0.513
Ru 0.500 0.500 0.668
Pt 0.500 0.500 0.295

Its formation energy is 163 meV per atom. Its total magnetization is 0.000 μB/f.u. Its energy above the lowest structure with this stoichiometry is 0.0 meV/atom. The total energy comes out at -40.368 eV/atom. The crystal system is orthorhombic.

=====

The following is a DFT calculation (meta-GGA SCAN) of Ba3Ta at its PBEsol-relaxed geometry.

Unit cell a=3.461 b=5.612 c=7.312 alpha=90.00 beta=90.00 gamma=90.00
Fractional positions:
Ba 0.000 0.000 0.000
Ba 0.000 0.500 0.312
Ba 0.500 0.000 0.573
Ta 0.500 0.500 0.773

Its formation energy is 1078 meV per atom. Its total magnetization is 0.000 μB/f.u. Its energy above the lowest structure with this stoichiometry is 40.8 meV/atom. The total energy comes out at -45.231 eV/atom. The crystal system is orthorhombic.

=====

The following is a DFT calculation (meta-GGA SCAN) of CaAu3Se at its PBEsol-relaxed geometry.

Unit cell a=5.156 b=5.156 c=5.156 alpha=90.00 beta=90.00 gamma=90.00
Fractional positions:
Ca 0.000 0.000 0.000
Au 0.000 0.000 0.500
Au 0.000 0.500 0.000
Au 0.500 0.000 0.000
Se 0.500 0.500 0.500

Its total magnetization is 0.000 μB/f.u. The total energy comes out at -46.573 eV/atom. The crystal system is cubic.

=====

The following is a DFT calculation (meta-GGA SCAN) of LaCoPb2 at its PBEsol-relaxed geometry.

Unit cell a=5.216 b=5.216 c=6.133 alpha=111.53 beta=111.53 gamma=40.18
Fractional positions:
La 0.000 0.000 0.000
Co 0.253 0.253 0.008
Pb 0.632 0.632 0.647
Pb 0.824 0.824 0.361

Its formation energy is -48 meV per atom. Its total magnetization is 0.000 μB/f.u. The total energy comes out at -53.041 eV/atom. The crystal system is monoclinic.

=====

The following is a DFT calculation (meta-GGA SCAN) of LaRe3F at its PBEsol-relaxed geometry.

Unit cell a=4.761 b=4.761 c=4.761 alpha=90.00 beta=90.00 gamma=90.00
Fractional positions:
La 0.000 0.000 0.000
Re 0.000 0.000 0.500
Re 0.000 0.500 0.000
Re 0.500 0.000 0.000
F 0.500 0.500 0.500

Its total magnetization is 0.056 μB/f.u. The total energy comes out at -48.558 eV/atom. The crystal system is cubic.

=====

The following is a DFT calculation (meta-GGA SCAN) of CsRbTe2Os at its PBEsol-relaxed geometry.

Unit cell a=6.222 b=6.222 c=6.446 alpha=90.00 beta=90.00 gamma=90.00
Fractional positions:
Cs 0.000 0.000 0.000
Rb 0.000 0.000 0.500
Te 0.000 0.500 0.500
Te 0.500 0.000 0.500
Os 0.500 0.500 0.000

Its total magnetization is 5.740 μB/f.u. The total energy comes out at -39.508 eV/atom. The crystal system is tetragonal.

=====

The following is a DFT calculation (meta-GGA SCAN) of YHgW3 at its PBEsol-relaxed geometry.

Unit cell a=4.763 b=4.763 c=4.763 alpha=90.00 beta=90.00 gamma=90.00
Fractional positions:
Y 0.000 0.000 0.000
Hg 0.500 0.500 0.500
W 0.000 0.000 0.500
W 0.000 0.500 0.000
W 0.500 0.000 0.000

Its formation energy is 3232 meV per atom. Its total magnetization is 0.000 μB/f.u. The total energy comes out at -57.783 eV/atom. The crystal system is cubic.

=====

The following is a DFT calculation (meta-GGA SCAN) of TaBe2Re at its PBEsol-relaxed geometry.

Unit cell a=3.828 b=3.828 c=3.329 alpha=90.00 beta=90.00 gamma=90.00
Fractional positions:
Ta 0.000 0.000 0.000
Be 0.000 0.500 0.500
Be 0.500 0.000 0.500
Re 0.500 0.500 0.000

Its formation energy is -1 meV per atom. Its total magnetization is 0.000 μB/f.u. Its energy above the lowest structure with this stoichiometry is 411.6 meV/atom. The total energy comes out at -36.598 eV/atom. The crystal system is tetragonal.

=====

The following is a DFT calculation (meta-GGA SCAN) of BaBeRh2 at its PBEsol-relaxed geometry.

Unit cell a=3.134 b=3.134 c=7.133 alpha=90.00 beta=90.00 gamma=90.00
Fractional positions:
Ba 0.000 0.000 0.000
Be 0.500 0.500 0.367
Rh 0.000 0.000 0.450
Rh 0.500 0.500 0.686

Its formation energy is 130 meV per atom. Its total magnetization is 0.008 μB/f.u. The total energy comes out at -27.732 eV/atom. The crystal system is tetragonal.

=====

The following is a DFT calculation (meta-GGA SCAN) of NbIrPb3 at its PBEsol-relaxed geometry.

Unit cell a=5.338 b=5.338 c=5.338 alpha=90.00 beta=90.00 gamma=90.00
Fractional positions:
Nb 0.000 0.000 0.000
Ir 0.500 0.500 0.500
Pb 0.000 0.000 0.500
Pb 0.000 0.500 0.000
Pb 0.500 0.000 0.000

Its formation energy is 1326 meV per atom. Its total magnetization is 3.388 μB/f.u. The total energy comes out at -64.988 eV/atom. The crystal system is cubic.

=====

The following is a DFT calculation (meta-GGA SCAN) of KB2Os at its PBEsol-relaxed geometry.

Unit cell a=4.160 b=4.160 c=4.160 alpha=60.00 beta=60.00 gamma=60.00
Fractional positions:
K 0.000 0.000 0.000
B 0.250 0.250 0.250
B 0.750 0.750 0.750
Os 0.500 0.500 0.500

Its formation energy is 2010 meV per atom. Its total magnetization is 0.000 μB/f.u. The total energy comes out at -21.757 eV/atom. The crystal system is cubic.

=====

The following is a DFT calculation (meta-GGA SCAN) of CsCdMoF2 at its PBEsol-relaxed geometry.

Unit cell a=4.981 b=4.981 c=6.415 alpha=90.00 beta=90.00 gamma=90.00
Fractional positions:
Cs 0.000 0.000 0.000
Cd 0.000 0.000 0.500
Mo 0.500 0.500 0.500
F 0.000 0.500 0.000
F 0.500 0.000 0.000

Its total magnetization is 5.709 μB/f.u. The total energy comes out at -22.049 eV/atom. The crystal system is tetragonal.

=====

The following is a DFT calculation (meta-GGA SCAN) of TaCdF2 at its PBEsol-relaxed geometry.

Unit cell a=9.606 b=9.606 c=9.606 alpha=16.82 beta=16.82 gamma=16.82
Fractional positions:
Ta 0.000 0.000 0.000
Cd 0.500 0.500 0.500
F 0.387 0.387 0.387
F 0.613 0.613 0.613

Its total magnetization is 0.000 μB/f.u. The total energy comes out at -27.578 eV/atom. The crystal system is trigonal.

=====

The following is a DFT calculation (meta-GGA SCAN) of Na2AgSb at its PBEsol-relaxed geometry.

Unit cell a=6.632 b=6.632 c=6.632 alpha=99.92 beta=99.92 gamma=130.95
Fractional positions:
Na 0.106 0.625 0.981
Na 0.375 0.356 0.481
Na 0.644 0.125 0.019
Na 0.875 0.894 0.519
Ag 0.000 0.000 0.000
Ag 0.750 0.250 0.500
Sb 0.250 0.750 0.500
Sb 0.500 0.500 0.000

Its total magnetization is 0.000 μB/f.u. The total energy comes out at -19.325 eV/atom. The crystal system is tetragonal.

=====

The following is a DFT calculation (meta-GGA SCAN) of TaZn2Si at its PBEsol-relaxed geometry.

Unit cell a=3.426 b=3.426 c=5.151 alpha=90.00 beta=90.00 gamma=90.00
Fractional positions:
Ta 0.000 0.000 0.000
Zn 0.500 0.500 0.253
Zn 0.500 0.500 0.747
Si 0.000 0.000 0.500

Its total magnetization is 0.000 μB/f.u. The total energy comes out at -25.723 eV/atom. The crystal system is tetragonal.

=====

The following is a DFT calculation (meta-GGA SCAN) of YSc2Be at its PBEsol-relaxed geometry.

Unit cell a=5.990 b=5.990 c=5.990 alpha=147.43 beta=131.73 gamma=59.44
Fractional positions:
Y 0.000 0.000 0.000
Sc 0.292 0.792 0.500
Sc 0.708 0.208 0.500
Be 0.500 0.500 0.000

Its formation energy is 39 meV per atom. Its total magnetization is 0.004 μB/f.u. The total energy comes out at -15.129 eV/atom. The crystal system is orthorhombic.

=====

The following is a DFT calculation (meta-GGA SCAN) of BaMnTe2 at its PBEsol-relaxed geometry.

Unit cell a=5.488 b=5.488 c=5.488 alpha=60.00 beta=60.00 gamma=60.00
Fractional positions:
Ba 0.000 0.000 0.000
Mn 0.750 0.750 0.750
Te 0.250 0.250 0.250
Te 0.500 0.500 0.500

Its total magnetization is 4.998 μB/f.u. The total energy comes out at -33.399 eV/atom. The crystal system is cubic.

=====

The following is a DFT calculation (meta-GGA SCAN) of ZnAgBiO2 at its PBEsol-relaxed geometry.

Unit cell a=4.087 b=4.087 c=4.833 alpha=90.00 beta=90.00 gamma=90.00
Fractional positions:
Zn 0.000 0.000 0.000
Ag 0.000 0.000 0.500
Bi 0.500 0.500 0.000
O 0.000 0.500 0.500
O 0.500 0.000 0.500

Its total magnetization is 0.000 μB/f.u. The total energy comes out at -26.909 eV/atom. The crystal system is tetragonal.

=====

The following is a DFT calculation (meta-GGA SCAN) of ZnSb2P at its PBEsol-relaxed geometry.

Unit cell a=6.226 b=6.226 c=4.205 alpha=108.65 beta=108.65 gamma=34.93
Fractional positions:
Zn 0.000 0.000 0.000
Sb 0.477 0.477 0.478
Sb 0.743 0.743 0.794
P 0.222 0.222 0.198

Its total magnetization is 0.000 μB/f.u. Its energy above the lowest structure with this stoichiometry is 0.0 meV/atom. The total energy comes out at -24.479 eV/atom. The crystal system is monoclinic.

=====

The following is a DFT calculation (meta-GGA SCAN) of YTa4Sb at its PBEsol-relaxed geometry.

Unit cell a=5.595 b=5.595 c=5.595 alpha=60.00 beta=60.00 gamma=60.00
Fractional positions:
Y 0.000 0.000 0.000
Ta 0.118 0.627 0.627
Ta 0.627 0.118 0.627
Ta 0.627 0.627 0.118
Ta 0.627 0.627 0.627
Sb 0.250 0.250 0.250

Its total magnetization is 0.000 μB/f.u. The total energy comes out at -55.003 eV/atom. The crystal system is cubic.

=====

The following is a DFT calculation (meta-GGA SCAN) of AsIr2Rh at its PBEsol-relaxed geometry.

Unit cell a=2.777 b=3.745 c=5.541 alpha=90.00 beta=90.00 gamma=90.00
Fractional positions:
As 0.000 0.000 0.000
Ir 0.000 0.000 0.517
Ir 0.500 0.500 0.290
Rh 0.500 0.500 0.774

Its formation energy is 126 meV per atom. Its total magnetization is 0.000 μB/f.u. The total energy comes out at -48.914 eV/atom. The crystal system is orthorhombic.